(1)
First-principles (PBE) data for a geometry-optimized AgAs2O6F structure, as listed in the Alexandria database.

abc: 4.855 8.447 8.447
angles: 94.51 77.33 77.33
Sites, in units of the cell vectors:
1 O 0.827 0.782 0.686
2 O 0.173 0.218 0.314
3 O 0.124 0.031 0.771
4 O 0.325 0.812 0.470
5 O 0.376 0.229 0.969
6 O 0.876 0.969 0.229
7 O 0.175 0.530 0.188
8 O 0.327 0.686 0.782
9 O 0.675 0.188 0.530
10 O 0.825 0.470 0.812
11 O 0.673 0.314 0.218
12 O 0.624 0.771 0.031
13 As 0.166 0.839 0.668
14 As 0.334 0.332 0.161
15 As 0.834 0.161 0.332
16 As 0.666 0.668 0.839
17 Ag 0.250 0.290 0.710
18 Ag 0.750 0.710 0.290
19 F 0.750 0.115 0.885
20 F 0.250 0.885 0.115

Calculated values
For the formation energy (no corrections), the calculation gives -0.666 eV/atom. As for the crystal system: monoclinic.

(2)
First-principles (PBE) data for a geometry-optimized PmAgAsF structure, as listed in the Alexandria database.

abc: 4.042 4.042 9.064
angles: 90.00 90.00 90.00
Sites, in units of the cell vectors:
1 Pm 0.500 0.000 0.173
2 Pm 0.000 0.500 0.827
3 F 0.000 0.000 0.000
4 F 0.500 0.500 0.000
5 As 0.000 0.500 0.290
6 As 0.500 0.000 0.710
7 Ag 0.000 0.000 0.500
8 Ag 0.500 0.500 0.500

Calculated values
For the formation energy (no corrections), the calculation gives -1.814 eV/atom. The calculation puts the density of states at the Fermi level at 0.4 states/eV/cell. As for the crystal system: tetragonal.

no.,magnetization (μB per cell)
1,0.00
2,0.00